A plane-wave DFT calculation with PBE-GGA was carried out for a geometry-optimized Rb2Sn4SbAu3 structure.

Computed properties:
As for the space group: P-4m2. Its formation energy from raw total energies is -0.248 eV/atom.

a = 4.9589 Å, b = 4.9589 Å, c = 11.7549 Å
α = 90.00°, β = 90.00°, γ = 90.00°
Atoms (fractional coordinates):
1 Rb 0.0000 0.5000 0.2491
2 Rb 0.5000 0.0000 0.7509
3 Sn 0.0000 0.0000 0.0000
4 Sn 0.0000 0.5000 0.6397
5 Sn 0.5000 0.0000 0.3603
6 Sn 0.5000 0.5000 0.0000
7 Sb 0.0000 0.0000 0.5000
8 Au 0.0000 0.5000 0.8786
9 Au 0.5000 0.0000 0.1214
10 Au 0.5000 0.5000 0.5000